[1]
{
  "formula": "LiPa3C4N12",
  "functional": "PBE",
  "state": "relaxed",
  "cell": [[5.107, 2.949, 2.912], [-5.107, 2.949, 2.912], [0.000, -5.897, 2.912]],
  "species": ["Li", "Pa", "Pa", "Pa", "C", "C", "C", "C", "N", "N", "N", "N", "N", "N", "N", "N", "N", "N", "N", "N"],
  "fractional_positions": [[0.000, 0.000, 0.000], [0.000, 0.531, 0.469], [0.469, 0.000, 0.531], [0.531, 0.469, 0.000], [0.029, 0.500, 0.971], [0.500, 0.500, 0.500], [0.500, 0.971, 0.029], [0.971, 0.029, 0.500], [0.012, 0.606, 0.818], [0.104, 0.896, 0.500], [0.182, 0.394, 0.988], [0.367, 0.633, 0.500], [0.394, 0.988, 0.182], [0.500, 0.104, 0.896], [0.500, 0.367, 0.633], [0.606, 0.818, 0.012], [0.633, 0.500, 0.367], [0.818, 0.012, 0.606], [0.896, 0.500, 0.104], [0.988, 0.182, 0.394]],
  "m_tot_mub_per_fu": 2.03,
  "formation_energy_uncorrected_ev_per_atom": -0.34
}

***

[2]
{
  "formula": "TlHg5Pb3",
  "functional": "PBE",
  "state": "relaxed",
  "cell": [[9.519, 0.000, 0.000], [-4.760, 8.244, 0.000], [0.000, 0.000, 6.502]],
  "species": ["Tl", "Tl", "Hg", "Hg", "Hg", "Hg", "Hg", "Hg", "Hg", "Hg", "Hg", "Hg", "Pb", "Pb", "Pb", "Pb", "Pb", "Pb"],
  "fractional_positions": [[0.000, 0.000, 0.000], [0.000, 0.000, 0.500], [0.000, 0.299, 0.250], [0.000, 0.701, 0.750], [0.299, 0.000, 0.250], [0.299, 0.299, 0.750], [0.333, 0.667, 0.000], [0.333, 0.667, 0.500], [0.667, 0.333, 0.000], [0.667, 0.333, 0.500], [0.701, 0.000, 0.750], [0.701, 0.701, 0.250], [0.000, 0.375, 0.750], [0.000, 0.625, 0.250], [0.375, 0.000, 0.750], [0.375, 0.375, 0.250], [0.625, 0.000, 0.250], [0.625, 0.625, 0.750]],
  "delta_e_f_mev_per_atom": 43.7,
  "m_tot_mub_per_fu": 0.00
}

***

[3]
{
  "formula": "SbTe2Rh",
  "functional": "PBE",
  "state": "relaxed",
  "cell": [[-2.937, 2.937, 2.898], [2.937, -2.937, 2.898], [2.937, 2.937, -2.898]],
  "species": ["Sb", "Te", "Te", "Rh"],
  "fractional_positions": [[0.000, 0.000, 0.000], [0.000, 0.500, 0.500], [0.500, 0.000, 0.500], [0.500, 0.500, 0.000]],
  "m_tot_mub_per_fu": 0.00,
  "formation_energy_uncorrected_ev_per_atom": 0.08
}